This record from Alexandria via LeMat-Bulk describes an optimized crystal structure of NaHf2Pt. The functional is GGA-PBE.

Unit cell a=7.9032 b=7.9032 c=6.3198 alpha=51.30 beta=51.30 gamma=90.00
Fractional coordinates of all 8 atoms:
Hf (0.8750, 0.9305, 0.7500)
Hf (0.6805, 0.1250, 0.2500)
Na (0.5000, 0.5000, 0.0000)
Hf (0.3750, 0.3195, 0.7500)
Na (0.2500, 0.7500, 0.5000)
Pt (0.7500, 0.2500, 0.5000)
Pt (0.0000, 0.0000, 0.0000)
Hf (0.0695, 0.6250, 0.2500)

## Properties
Spin magnetization (μB/f.u.): 0.0
Space-group type: I-42d
VASP energy (eV per formula unit): -26.9
Calculated formation energy (eV per atom): 0.09



This record from Alexandria via LeMat-Bulk describes an optimized crystal structure of NaHfPt2. The functional is GGA-PBE.

Unit cell a=3.2780 b=3.2780 c=7.2814 alpha=90.00 beta=90.00 gamma=90.00
Fractional coordinates of all 4 atoms:
Pt (0.0000, 0.0000, 0.2087)
Pt (0.0000, 0.0000, 0.7913)
Hf (0.5000, 0.5000, 0.0000)
Na (0.5000, 0.5000, 0.5000)

## Properties
Spin magnetization (μB/f.u.): 0.0
Space-group type: P4/mmm
VASP energy (eV per formula unit): -26.4
Calculated formation energy (eV per atom): -0.76